# ScBe2Ag2, optimized geometry, DFT PBE-GGA
# Distance to the lowest polymorph of the same formula = 0.0000 eV per atom
# Formation enthalpy at 0 K = 78 meV per atom
# Total moment = 0.6 μB per formula unit
data_ScBe2Ag2
_chemical_formula_sum 'Sc2 Be4 Ag4'
_space_group_name_H-M_alt 'P 4/m b m'
_space_group_IT_number 127
_space_group_name_Hall '-P 4 2ab'
_cell_length_a 7.146
_cell_length_b 7.146
_cell_length_c 2.896
_cell_angle_alpha 90.00
_cell_angle_beta 90.00
_cell_angle_gamma 90.00
loop_
_atom_site_label
_atom_site_type_symbol
_atom_site_fract_x
_atom_site_fract_y
_atom_site_fract_z
Sc1 Sc 0.000 0.000 0.000
Be1 Be 0.115 0.385 0.000
Ag1 Ag 0.176 0.676 0.500

=====

# YNiIr, optimized geometry, DFT PBE-GGA
# Formation enthalpy at 0 K = -544 meV per atom
# Total moment = 0.0 μB per formula unit
data_YNiIr
_chemical_formula_sum 'Y1 Ni1 Ir1'
_space_group_name_H-M_alt 'P -6 m 2'
_space_group_IT_number 187
_space_group_name_Hall 'P -6 2'
_cell_length_a 4.1270
_cell_length_b 4.1270
_cell_length_c 3.8142
_cell_angle_alpha 90.00
_cell_angle_beta 90.00
_cell_angle_gamma 120.00
loop_
_atom_site_label
_atom_site_type_symbol
_atom_site_fract_x
_atom_site_fract_y
_atom_site_fract_z
Y1 Y 0.0000 0.0000 0.0000
Ni1 Ni 0.3333 0.6667 0.5000
Ir1 Ir 0.6667 0.3333 0.5000

=====

# Na3In7Ag4, optimized geometry, DFT PBE-GGA
# Formation enthalpy at 0 K = -84 meV per atom
# Total moment = 0.0 μB per formula unit
data_Na3In7Ag4
_chemical_formula_sum 'Na6 In14 Ag8'
_space_group_name_H-M_alt 'C 1 2/m 1'
_space_group_IT_number 12
_cell_length_a 16.907
_cell_length_b 4.629
_cell_length_c 10.364
_cell_angle_alpha 90.00
_cell_angle_beta 120.90
_cell_angle_gamma 90.00
loop_
_space_group_symop_operation_xyz
'x,y,z'
'-x,-y,-z'
'-x,y,-z'
'x,-y,z'
'x+1/2,y+1/2,z'
'-x+1/2,-y+1/2,-z'
'-x+1/2,y+1/2,-z'
'x+1/2,-y+1/2,z'
loop_
_atom_site_label
_atom_site_type_symbol
_atom_site_fract_x
_atom_site_fract_y
_atom_site_fract_z
Na1 Na 0.000 0.000 0.000
Na2 Na 0.195 0.500 0.699
In1 In 0.000 0.000 0.500
In2 In 0.002 0.500 0.291
In3 In 0.159 0.000 0.434
In4 In 0.183 0.500 0.021
Ag1 Ag 0.119 0.000 0.827
Ag2 Ag 0.163 0.500 0.272

=====

# BaTcPd2, optimized geometry, DFT PBE-GGA
# Distance to the lowest polymorph of the same formula = 0.0000 eV per atom
# Formation enthalpy at 0 K = 440 meV per atom
# Total moment = 1.1 μB per formula unit
data_BaTcPd2
_chemical_formula_sum 'Ba4 Tc4 Pd8'
_space_group_name_H-M_alt 'I -4 2 d'
_space_group_IT_number 122
_space_group_name_Hall 'I -4 2bw'
_cell_length_a 5.295
_cell_length_b 5.295
_cell_length_c 16.641
_cell_angle_alpha 90.00
_cell_angle_beta 90.00
_cell_angle_gamma 90.00
loop_
_atom_site_label
_atom_site_type_symbol
_atom_site_fract_x
_atom_site_fract_y
_atom_site_fract_z
Ba1 Ba 0.000 0.000 0.000
Tc1 Tc 0.000 0.000 0.500
Pd1 Pd 0.005 0.250 0.625

=====

# YTl2Os, optimized geometry, DFT PBE-GGA
# Distance to the lowest polymorph of the same formula = 0.0000 eV per atom
# Formation enthalpy at 0 K = 212 meV per atom
# Total moment = 0.0 μB per formula unit
data_YTl2Os
_chemical_formula_sum 'Y1 Tl2 Os1'
_space_group_name_H-M_alt 'P 4 m m'
_space_group_IT_number 99
_cell_length_a 3.399
_cell_length_b 3.399
_cell_length_c 8.373
_cell_angle_alpha 90.00
_cell_angle_beta 90.00
_cell_angle_gamma 90.00
loop_
_space_group_symop_operation_xyz
'x,y,z'
'-y,x,z'
'-x,-y,z'
'y,-x,z'
'-x,y,z'
'y,x,z'
'x,-y,z'
'-y,-x,z'
loop_
_atom_site_label
_atom_site_type_symbol
_atom_site_fract_x
_atom_site_fract_y
_atom_site_fract_z
Y1 Y 0.000 0.000 0.000
Tl1 Tl 0.000 0.000 0.397
Tl2 Tl 0.500 0.500 0.688
Os1 Os 0.500 0.500 0.192

=====

# Mg6Pb2N, optimized geometry, DFT PBE-GGA
# Total moment = 0.0 μB per formula unit
# Formation energy (no corrections) = -240 meV per atom
data_Mg6Pb2N
_chemical_formula_sum 'Mg24 Pb8 N4'
_space_group_name_H-M_alt 'F m -3 m'
_space_group_IT_number 225
_space_group_name_Hall '-F 4 2 3'
_cell_length_a 9.000
_cell_length_b 9.000
_cell_length_c 9.000
_cell_angle_alpha 90.00
_cell_angle_beta 90.00
_cell_angle_gamma 90.00
loop_
_atom_site_label
_atom_site_type_symbol
_atom_site_fract_x
_atom_site_fract_y
_atom_site_fract_z
Mg1 Mg 0.000 0.000 0.243
Pb1 Pb 0.250 0.250 0.250
N1 N 0.000 0.000 0.000